{
  "formula": "CeUVO6",
  "functional": "PBE+U",
  "state": "optimized geometry",
  "cell": [[5.415, 0.000, 0.000], [-2.707, 4.689, 0.000], [0.000, 0.000, 10.036]],
  "species": ["O", "O", "O", "O", "O", "O", "O", "O", "O", "O", "O", "O", "V", "V", "U", "U", "Ce", "Ce"],
  "fractional_positions": [[0.654, 0.002, 0.863], [0.346, 0.998, 0.137], [0.002, 0.654, 0.363], [0.998, 0.652, 0.863], [0.654, 0.652, 0.637], [0.652, 0.998, 0.363], [0.348, 0.346, 0.863], [0.998, 0.346, 0.637], [0.346, 0.348, 0.363], [0.348, 0.002, 0.637], [0.002, 0.348, 0.137], [0.652, 0.654, 0.137], [0.667, 0.333, 0.750], [0.333, 0.667, 0.250], [0.333, 0.667, 0.750], [0.667, 0.333, 0.250], [0.000, 0.000, 0.500], [0.000, 0.000, 0.000]],
  "magnetic_moment_mub_per_cell": 6.036,
  "e_tot_ry_per_atom": -0.6599,
  "dos_at_fermi_per_ev_atom": 0.5046
}